First-principles (PBE) data for a geometry-optimized Mo2WCl structure, as listed in Alexandria.

```
data_Mo2WCl
_space_group_name_H-M_alt 'P 1'
_space_group_IT_number 1
_cell_length_a 8.736
_cell_length_b 8.736
_cell_length_c 8.736
_cell_angle_alpha 19.49
_cell_angle_beta 19.49
_cell_angle_gamma 19.49
loop_
_space_group_symop_operation_xyz
'x,y,z'
loop_
_atom_site_label
_atom_site_fract_x
_atom_site_fract_y
_atom_site_fract_z
Mo1 0.000 0.000 0.000
Mo2 0.255 0.255 0.255
W1 0.502 0.502 0.502
Cl1 0.755 0.755 0.755
```

Computed properties:
Density of states at the Fermi level in states/eV per atom: 1.1176
ΔE_f (raw) in eV/f.u.: 1.86
E in eV per atom: -8.6507
Symmetry: R3m (160)
Crystal system: trigonal
ΔE to the lowest computed polymorph in meV/atom: 216